(1)
Here is Pm2Pr5Ho4 after structural relaxation from Alexandria. Energies are from PBE.

Cell: 3.5593 9.2499 12.8388 Å, 111.11 97.97 90.00°
Last column: nearest neighbours and their distance in Å.
Positions (direct):
1 Ho 0.0000 0.6853 0.0000  7 Ho 3.36-3.56, 4 Pr 3.41-3.59
2 Pm 0.2688 0.2688 0.5376  1 Ho 3.20, 2 Pr 3.47, 2 Pm 3.56
3 Pr 0.5000 0.0000 0.0000  4 Ho 3.41, 2 Pr 3.56
4 Ho 0.4039 0.4039 0.8077  1 Pm 3.20, 6 Ho 3.36-3.56, 4 Pr 3.49
5 Pm 0.7312 0.7312 0.4624  1 Ho 3.20, 2 Pr 3.47, 2 Pm 3.56
6 Pr 0.8553 0.6551 0.7106  3 Pm 3.47-3.88, 3 Ho 3.49-3.59, 3 Pr 3.56-3.70
7 Pr 0.8553 0.0555 0.7106  3 Pm 3.47-3.88, 3 Ho 3.49-3.59, 3 Pr 3.56-3.70
8 Ho 0.0000 0.3147 0.0000  7 Ho 3.36-3.56, 4 Pr 3.41-3.59
9 Pr 0.1447 0.9445 0.2894  3 Pm 3.47-3.88, 3 Ho 3.49-3.59, 3 Pr 3.56-3.70
10 Pr 0.1447 0.3449 0.2894  3 Pm 3.47-3.88, 3 Ho 3.49-3.59, 3 Pr 3.56-3.70
11 Ho 0.5961 0.5961 0.1923  1 Pm 3.20, 6 Ho 3.36-3.56, 4 Pr 3.49

energy above the most stable polymorph in this dataset = 0.102 eV/atom
symmetry = Immm, No. 71
ρ = 7.04 g/cm3
energy of formation from the pure elements = 0.17 eV/atom

---

(2)
Here is Tb5Dy12Mg2 after structural relaxation from Alexandria. Energies are from PBE.

Cell: 9.1575 9.0343 8.3534 Å, 91.14 90.00 120.45°
Last column: nearest neighbours and their distance in Å.
Positions (direct):
1 Tb 0.7668 0.5336 0.4249  8 Dy 3.33-3.53, 2 Tb 3.53-3.67
2 Dy 0.6676 0.7016 0.7592  1 Mg 3.33, 4 Dy 3.33-3.56, 4 Tb 3.49-3.62
3 Dy 0.5575 0.1150 0.3340  2 Mg 3.29, 2 Tb 3.33-3.53, 7 Dy 3.33-3.48
4 Tb 0.2332 0.4664 0.5751  8 Dy 3.33-3.53, 2 Tb 3.53-3.67
5 Dy 0.9180 0.8360 0.1164  5 Dy 3.25-3.56, 3 Tb 3.42-3.53, 2 Mg 3.44
6 Mg 0.6686 0.0000 0.0000  1 Mg 3.09, 8 Dy 3.29-3.44
7 Dy 0.5666 0.7474 0.3283  5 Dy 3.36-3.56, 4 Tb 3.38-3.70, 1 Mg 3.42
8 Tb 0.7029 0.4057 0.0163  8 Dy 3.43-3.60, 2 Mg 3.52, 1 Tb 3.53
9 Tb 0.0000 0.0000 0.5000  10 Dy 3.42-3.70, 2 Tb 3.67
10 Dy 0.0340 0.7016 0.7592  1 Mg 3.33, 4 Dy 3.33-3.56, 4 Tb 3.49-3.62
11 Dy 0.8192 0.2526 0.6717  5 Dy 3.36-3.56, 4 Tb 3.38-3.70, 1 Mg 3.42
12 Tb 0.2971 0.5943 0.9837  8 Dy 3.43-3.60, 2 Mg 3.52, 1 Tb 3.53
13 Mg 0.3314 0.0000 0.0000  1 Mg 3.09, 8 Dy 3.29-3.44
14 Dy 0.1808 0.7474 0.3283  5 Dy 3.36-3.56, 4 Tb 3.38-3.70, 1 Mg 3.42
15 Dy 0.4334 0.2526 0.6717  5 Dy 3.36-3.56, 4 Tb 3.38-3.70, 1 Mg 3.42
16 Dy 0.4425 0.8850 0.6660  2 Mg 3.29, 2 Tb 3.33-3.53, 7 Dy 3.33-3.48
17 Dy 0.9660 0.2984 0.2408  1 Mg 3.33, 4 Dy 3.33-3.56, 4 Tb 3.49-3.62
18 Dy 0.3324 0.2984 0.2408  1 Mg 3.33, 4 Dy 3.33-3.56, 4 Tb 3.49-3.62
19 Dy 0.0820 0.1640 0.8836  5 Dy 3.25-3.56, 3 Tb 3.42-3.53, 2 Mg 3.44

symmetry = C2/m, No. 12
ρ = 7.79 g/cm3
energy of formation from the pure elements = 0.10 eV/atom